[1]
A geometry-optimized Dy2Rh3Pb3 structure, computed with GGA-PBE.

The structure in POSCAR format:
```
Dy2Rh3Pb3
1.0
8.106 0.000 0.000
-4.053 7.020 0.000
0.000 0.000 6.391
Dy Rh Pb
4 6 6
direct
0.333 0.667 0.000 Dy
0.333 0.667 0.500 Dy
0.667 0.333 0.000 Dy
0.667 0.333 0.500 Dy
0.000 0.389 0.250 Rh
0.000 0.611 0.750 Rh
0.389 0.000 0.250 Rh
0.389 0.389 0.750 Rh
0.611 0.000 0.750 Rh
0.611 0.611 0.250 Rh
0.000 0.263 0.750 Pb
0.000 0.737 0.250 Pb
0.263 0.000 0.750 Pb
0.263 0.263 0.250 Pb
0.737 0.000 0.250 Pb
0.737 0.737 0.750 Pb
```

Calculated values
- ρ (g/cm³) = 11.46
- ΔH_f (0 K) (eV per atom) = -0.414
- DFT total energy (eV per atom) = -5.71
- total moment (μB/cell) = 0.00

***

[2]
A geometry-optimized Dy2Rh2Pb structure, computed with GGA-PBE.

The structure in POSCAR format:
```
Dy2Rh2Pb
1.0
4.538 0.000 0.000
0.000 5.928 0.000
0.000 0.000 8.175
Dy Rh Pb
4 4 2
direct
0.000 0.000 0.206 Dy
0.000 0.000 0.794 Dy
0.500 0.500 0.294 Dy
0.500 0.500 0.706 Dy
0.000 0.279 0.500 Rh
0.000 0.721 0.500 Rh
0.500 0.221 0.000 Rh
0.500 0.779 0.000 Rh
0.000 0.500 0.000 Pb
0.500 0.000 0.500 Pb
```

Calculated values
- ρ (g/cm³) = 11.15
- ΔH_f (0 K) (eV per atom) = -0.693
- DFT total energy (eV per atom) = -6.22
- total moment (μB/cell) = 0.00

***

[3]
A geometry-optimized Dy2Rh3Pb structure, computed with GGA-PBE.

The structure in POSCAR format:
```
Dy2Rh3Pb
1.0
4.801 0.000 0.000
-2.400 4.157 0.000
0.000 0.000 11.693
Dy Rh Pb
4 6 2
direct
0.000 0.000 0.000 Dy
0.000 0.000 0.500 Dy
0.333 0.667 0.175 Dy
0.667 0.333 0.825 Dy
0.000 0.000 0.247 Rh
0.000 0.000 0.753 Rh
0.333 0.667 0.421 Rh
0.333 0.667 0.917 Rh
0.667 0.333 0.083 Rh
0.667 0.333 0.579 Rh
0.333 0.667 0.666 Pb
0.667 0.333 0.334 Pb
```

Calculated values
- ρ (g/cm³) = 11.97
- ΔH_f (0 K) (eV per atom) = -0.658
- DFT total energy (eV per atom) = -6.49
- total moment (μB/cell) = 0.00

***

[4]
A geometry-optimized Dy4RhPb structure, computed with GGA-PBE.

The structure in POSCAR format:
```
Dy4RhPb
1.0
4.482 -6.739 0.000
4.482 6.739 0.000
-2.399 0.000 5.572
Dy Rh Pb
8 2 2
direct
0.058 0.718 0.932 Dy
0.211 0.356 0.659 Dy
0.282 0.942 0.568 Dy
0.356 0.211 0.159 Dy
0.644 0.789 0.841 Dy
0.718 0.058 0.432 Dy
0.789 0.644 0.341 Dy
0.942 0.282 0.068 Dy
0.000 0.000 0.250 Rh
0.000 0.000 0.750 Rh
0.372 0.628 0.250 Pb
0.628 0.372 0.750 Pb
```

Calculated values
- ρ (g/cm³) = 9.47
- ΔH_f (0 K) (eV per atom) = -0.509
- DFT total energy (eV per atom) = -5.42
- total moment (μB/cell) = 0.00

***

[5]
A geometry-optimized Dy6Rh2Pb structure, computed with GGA-PBE.

The structure in POSCAR format:
```
Dy6Rh2Pb
1.0
-4.710 4.879 5.198
4.710 -4.879 5.198
4.710 4.879 -5.198
Dy Rh Pb
12 4 2
direct
0.029 0.236 0.793 Dy
0.181 0.291 0.472 Dy
0.181 0.709 0.890 Dy
0.330 0.021 0.691 Dy
0.330 0.639 0.309 Dy
0.443 0.236 0.207 Dy
0.557 0.764 0.793 Dy
0.670 0.361 0.691 Dy
0.670 0.979 0.309 Dy
0.819 0.291 0.110 Dy
0.819 0.709 0.528 Dy
0.971 0.764 0.207 Dy
0.134 0.634 0.500 Rh
0.338 0.000 0.338 Rh
0.662 0.000 0.662 Rh
0.866 0.366 0.500 Rh
0.000 0.000 0.000 Pb
0.500 0.500 0.000 Pb
```

Calculated values
- ρ (g/cm³) = 9.65
- ΔH_f (0 K) (eV per atom) = -0.585
- DFT total energy (eV per atom) = -5.70
- total moment (μB/cell) = 0.00

***

[6]
A geometry-optimized Dy2RhPb2 structure, computed with GGA-PBE.

The structure in POSCAR format:
```
Dy2RhPb2
1.0
3.991 0.000 0.000
1.995 5.806 0.000
1.986 1.033 11.137
Dy Rh Pb
4 2 4
direct
0.000 0.176 0.325 Dy
0.000 0.824 0.675 Dy
0.181 0.276 0.860 Dy
0.819 0.724 0.140 Dy
0.330 0.540 0.302 Rh
0.670 0.460 0.698 Rh
0.338 0.268 0.553 Pb
0.438 0.723 0.902 Pb
0.562 0.277 0.098 Pb
0.662 0.732 0.447 Pb
```

Calculated values
- ρ (g/cm³) = 10.84
- ΔH_f (0 K) (eV per atom) = -0.552
- DFT total energy (eV per atom) = -5.35
- total moment (μB/cell) = 0.00